(1)
YNb2Sn2 | PBE | relaxed

VASP energy = -7.22 eV per atom
energy relative to the elements = -28.4 kJ/mol of atoms
excess energy over the best structure of this formula in the dataset = 0.0 meV per atom

a b c (Å): 4.1660 4.1660 7.2780
angles (deg): 73.37 73.37 90.00
Closest atoms and distances in Å follow each position.
Fractional coordinates of all 5 atoms:
Y1 0.0000 0.0000 0.0000  8 Sn 3.26
Nb1 0.7500 0.2500 0.5000  4 Sn 2.84, 4 Nb 2.95
Nb2 0.2500 0.7500 0.5000  4 Sn 2.84, 4 Nb 2.95
Sn1 0.3954 0.3954 0.2092  1 Sn 2.78, 4 Nb 2.84
Sn2 0.6046 0.6046 0.7908  1 Sn 2.78, 4 Nb 2.84

=====

(2)
NbZnSn2 | PBE | relaxed

VASP energy = -4.70 eV per atom
energy relative to the elements = 13.2 kJ/mol of atoms

a b c (Å): 3.2638 3.2638 9.9141
angles (deg): 80.53 80.53 60.00
Closest atoms and distances in Å follow each position.
Fractional coordinates of all 4 atoms:
Zn1 0.0000 0.0000 0.0000  2 Sn 2.63
Nb1 0.5000 0.5000 0.5000  6 Sn 2.92, 6 Nb 3.26
Sn1 0.0902 0.0902 0.7294  1 Zn 2.63, 3 Nb 2.92
Sn2 0.9098 0.9098 0.2706  1 Zn 2.63, 3 Nb 2.92

=====

(3)
Nb12Zn3Sn | PBE | relaxed

VASP energy = -8.08 eV per atom
energy relative to the elements = -3.3 kJ/mol of atoms

a b c (Å): 5.2347 5.2322 10.4297
angles (deg): 90.00 90.00 90.00
Closest atoms and distances in Å follow each position.
Fractional coordinates of all 16 atoms:
Nb1 0.5000 0.0000 0.3697  2 Nb 2.58-2.72
Nb2 0.5000 0.0000 0.8779  2 Nb 2.55-2.58
Nb3 0.7542 0.5000 0.0000  2 Nb 2.57-2.66
Nb4 0.7428 0.5000 0.5000  2 Nb 2.54-2.69
Nb5 0.0000 0.7472 0.2437  2 Nb 2.59-2.65, 1 Zn 2.87
Nb6 0.0000 0.7472 0.7563  2 Nb 2.59-2.65, 1 Zn 2.87
Nb7 0.5000 0.0000 0.1221  2 Nb 2.55-2.58
Nb8 0.5000 0.0000 0.6303  2 Nb 2.58-2.72
Nb9 0.2458 0.5000 0.0000  2 Nb 2.57-2.66
Nb10 0.2572 0.5000 0.5000  2 Nb 2.54-2.69
Nb11 0.0000 0.2528 0.2437  2 Nb 2.59-2.65, 1 Zn 2.87
Nb12 0.0000 0.2528 0.7563  2 Nb 2.59-2.65, 1 Zn 2.87
Zn1 0.5000 0.5000 0.2510  12 Nb 2.89-2.94
Zn2 0.5000 0.5000 0.7490  12 Nb 2.89-2.94
Zn3 0.0000 0.0000 0.0000  12 Nb 2.87-2.92
Sn1 0.0000 0.0000 0.5000  12 Nb 2.94-2.98